First-principles (PBE-GGA) data for an optimized crystal structure of YSb3O, as listed in the Alexandria database.

POSCAR file:
```
YSb3O
1.0
4.8270 0.0000 0.0000
0.0000 4.8270 0.0000
0.0000 0.0000 4.8270
Y Sb O
1 3 1
Direct
0.0000 0.0000 0.0000 Y
0.0000 0.5000 0.5000 Sb
0.5000 0.0000 0.5000 Sb
0.5000 0.5000 0.0000 Sb
0.5000 0.5000 0.5000 O
```

Values from the calculation:
Formation energy from raw total energies, eV/atom: -0.5897
Crystal system: cubic
Density of states at the Fermi level, states/eV/cell: 1.560
Offset from the most stable computed form, kJ/mol of atoms: 0.00